1.
Entry from Alexandria: a relaxed structure of Cu2Hg2AsO6 (PBE).

Lattice parameters (Å, degrees): 5.699 8.992 6.014 90.00 100.21 90.00
Space group C2/m (No. 12)
Asymmetric unit:
Cu (0.000, 0.162, 0.000) x4
Hg (0.000, 0.334, 0.500) x4
As (0.000, 0.500, 0.000) x2
O (0.140, 0.341, 0.196) x8
O (0.229, 0.000, 0.134) x4

Properties
- magnetization (μB/cell) = 2.35
- formation energy (no corrections) (eV/f.u.) = -6.4
- Fermi-level density of states (states/eV/atom) = 0.27

=====

2.
Entry from Alexandria: a relaxed structure of Nd12Dy5Y2 (PBE).

Lattice parameters (Å, degrees): 15.826 10.340 8.055 90.00 91.88 90.00
Space group C2/m (No. 12)
Asymmetric unit:
Nd (0.052, 0.000, 0.210) x4
Nd (0.106, 0.227, 0.888) x8
Nd (0.150, 0.500, 0.620) x4
Nd (0.191, 0.270, 0.294) x8
Dy (0.000, 0.500, 0.000) x2
Dy (0.150, 0.000, 0.586) x4
Dy (0.245, 0.500, 0.989) x4
Y (0.000, 0.256, 0.500) x4

Properties
- magnetization (μB/cell) = 0.00
- Fermi-level density of states (states/eV/atom) = 1.43
- energy of formation (eV per atom) = 0.130

=====

3.
Entry from Alexandria: a relaxed structure of TcSbOs2 (PBE).

Lattice parameters (Å, degrees): 9.315 2.904 4.760 90.00 97.82 90.00
Space group C2/m (No. 12)
Asymmetric unit:
Tc (0.000, 0.000, 0.000) x2
Sb (0.000, 0.500, 0.500) x2
Os (0.237, 0.500, 0.228) x4

Properties
- magnetization (μB/cell) = 0.00
- formation energy (no corrections) (eV/f.u.) = 1.7
- Fermi-level density of states (states/eV/atom) = 1.06

=====

4.
Entry from Alexandria: a relaxed structure of CoCuRh (PBE).

Lattice parameters (Å, degrees): 5.598 5.598 5.598 90.00 90.00 90.00
Space group F-43m (No. 216)
Asymmetric unit:
Co (0.000, 0.000, 0.000) x4
Cu (0.250, 0.250, 0.250) x4
Rh (0.250, 0.250, 0.750) x4

Properties
- relative energy among the computed polymorphs (meV per atom) = 362.8
- magnetization (μB/cell) = 11.42
- Fermi-level density of states (states/eV/atom) = 1.20
- energy of formation (eV per atom) = 0.441

=====

5.
Entry from Alexandria: a relaxed structure of MnCrRu2Pb (PBE).

Lattice parameters (Å, degrees): 4.397 4.397 4.926 90.00 90.00 90.00
Space group P4/mmm (No. 123)
Asymmetric unit:
Mn (0.000, 0.000, 0.000) x1
Cr (0.500, 0.500, 0.500) x1
Ru (0.000, 0.500, 0.500) x2
Pb (0.500, 0.500, 0.000) x1

Properties
- magnetization (μB/cell) = 0.30
- Fermi-level density of states (states/eV/atom) = 2.07
- energy of formation (eV per atom) = 1.630

=====

6.
Entry from Alexandria: a relaxed structure of Tc2RuCl (PBE).

Lattice parameters (Å, degrees): 6.154 6.154 6.154 90.00 90.00 90.00
Space group Fm-3m (No. 225)
Asymmetric unit:
Tc (0.250, 0.250, 0.250) x8
Ru (0.000, 0.000, 0.000) x4
Cl (0.000, 0.000, 0.500) x4

Properties
- relative energy among the computed polymorphs (meV per atom) = 533.7
- magnetization (μB/cell) = 0.00
- formation energy (no corrections) (eV/f.u.) = 3.3
- Fermi-level density of states (states/eV/atom) = 1.27